Density functional theory data (GGA-PBE) for Li3In12Ag after structural relaxation.

Summary:
total magnetization	0.00	μB per formula unit
V	382.95	Å³/cell
E_form	-0.09	eV/atom

a = 4.566 Å, b = 4.566 Å, c = 18.365 Å
α = 90.00°, β = 90.00°, γ = 90.00°
Space group P4/mmm (No. 123)
Symmetry-distinct sites (fractional):
Li1 0.000 0.000 0.000 (multiplicity 1)
Li2 0.000 0.000 0.247 (multiplicity 2)
In1 0.000 0.500 0.124 (multiplicity 4)
In2 0.000 0.500 0.376 (multiplicity 4)
In3 0.500 0.500 0.000 (multiplicity 1)
In4 0.500 0.500 0.249 (multiplicity 2)
In5 0.500 0.500 0.500 (multiplicity 1)
Ag1 0.000 0.000 0.500 (multiplicity 1)